# 1
The following is a DFT calculation (PBE-GGA) of an optimized crystal structure of Zr2ZnSn.

Results
Raw total energy   -5.684 eV/atom
DFT formation energy   -0.09 eV/atom
M_tot   0.000 μB per atom

abc: 4.011 4.011 6.971
angles: 73.28 73.28 60.00
Sites, in units of the cell vectors:
Sn: 0.500 0.500 0.500
Zn: 0.000 0.000 0.000
Zr: 0.254 0.254 0.238
Zr: 0.746 0.746 0.762

***

# 2
The following is a DFT calculation (PBE-GGA) of an optimized crystal structure of Li2HAu.

Results
Raw total energy   -2.953 eV/atom
M_tot   0.000 μB per atom
Excess energy over the best structure of this formula in the dataset   67.1 meV per atom

abc: 5.636 5.636 5.200
angles: 57.19 57.19 90.00
Sites, in units of the cell vectors:
Li: 0.875 0.747 0.750
Li: 0.497 0.125 0.250
Li: 0.253 0.625 0.250
Li: 0.375 0.503 0.750
H: 0.500 0.500 0.000
H: 0.250 0.750 0.500
Au: 0.750 0.250 0.500
Au: 0.000 0.000 0.000

***

# 3
The following is a DFT calculation (PBE-GGA) of an optimized crystal structure of SrLi2Cl.

Results
Raw total energy   -2.508 eV/atom
Raw formation energy   -0.669 eV/atom
M_tot   0.000 μB per atom
Excess energy over the best structure of this formula in the dataset   62.4 meV per atom

abc: 4.192 4.240 6.846
angles: 90.00 90.00 90.00
Sites, in units of the cell vectors:
Li: 0.500 0.500 0.000
Li: 0.000 0.000 0.000
Cl: 0.000 0.500 0.500
Sr: 0.500 0.000 0.500